Record 1
{"formula": "Pa2Ni4As3Rh", "functional": "PBE-GGA", "state": "optimized geometry", "cell": [[-0.037, 2.430, -3.091], [-1.915, -2.710, -2.109], [-8.989, 3.890, 3.166]], "species": ["Pa", "Pa", "Ni", "Ni", "Ni", "Ni", "As", "As", "As", "Rh"], "frac_coords": [[0.500, 0.000, 0.254], [0.000, 0.500, 0.746], [0.500, 0.500, 0.000], [0.000, 0.000, 0.000], [0.500, 0.000, 0.654], [0.000, 0.500, 0.346], [0.000, 0.000, 0.500], [0.500, 0.000, 0.874], [0.000, 0.500, 0.126], [0.500, 0.500, 0.500]], "ef_ev_per_atom": -0.640, "n_ef_per_ev_fu": 7.53}

Record 2
{"formula": "Pa2NiAs4Ru3", "functional": "PBE-GGA", "state": "optimized geometry", "cell": [[4.270, 0.000, 0.000], [0.000, 4.270, 0.000], [0.000, 0.000, 9.596]], "species": ["Pa", "Pa", "Ni", "As", "As", "As", "As", "Ru", "Ru", "Ru"], "frac_coords": [[0.500, 0.000, 0.251], [0.000, 0.500, 0.749], [0.500, 0.500, 0.500], [0.500, 0.500, 0.000], [0.000, 0.000, 0.000], [0.500, 0.000, 0.631], [0.000, 0.500, 0.369], [0.000, 0.000, 0.500], [0.500, 0.000, 0.879], [0.000, 0.500, 0.121]], "ef_ev_per_atom": -0.582, "n_ef_per_ev_fu": 7.46}

Record 3
{"formula": "Pa2Ni3As4Ru", "functional": "PBE-GGA", "state": "optimized geometry", "cell": [[-4.184, 0.425, 0.656], [0.511, -1.212, 4.048], [1.274, 8.744, 2.458]], "species": ["Pa", "Pa", "Ni", "Ni", "Ni", "As", "As", "As", "As", "Ru"], "frac_coords": [[0.500, 0.000, 0.250], [0.000, 0.500, 0.750], [0.000, 0.000, 0.500], [0.500, 0.000, 0.887], [0.000, 0.500, 0.113], [0.500, 0.500, 0.000], [0.000, 0.000, 0.000], [0.500, 0.000, 0.638], [0.000, 0.500, 0.362], [0.500, 0.500, 0.500]], "ef_ev_per_atom": -0.633, "n_ef_per_ev_fu": 10.91}

Record 4
{"formula": "Pa3Ni2As4S2", "functional": "PBE-GGA", "state": "optimized geometry", "cell": [[-0.874, -2.765, 2.794], [2.502, -2.599, -1.789], [8.831, 6.968, 6.759]], "species": ["Pa", "Pa", "Pa", "Ni", "Ni", "As", "As", "As", "As", "S", "S"], "frac_coords": [[0.000, 0.000, 0.000], [0.184, 0.184, 0.368], [0.816, 0.816, 0.632], [0.455, 0.455, 0.910], [0.545, 0.545, 0.090], [0.405, 0.905, 0.810], [0.905, 0.405, 0.810], [0.095, 0.595, 0.190], [0.595, 0.095, 0.190], [0.293, 0.293, 0.586], [0.707, 0.707, 0.414]], "raw_formation_energy_mev_per_atom": -912, "n_ef_per_ev_fu": 9.73}

Record 5
{"formula": "Pa3Ni2As2S4", "functional": "PBE-GGA", "state": "optimized geometry", "cell": [[-3.663, 1.502, 1.738], [-1.747, 0.304, -3.943], [-1.150, -11.347, 2.005]], "species": ["Pa", "Pa", "Pa", "Ni", "Ni", "As", "As", "S", "S", "S", "S"], "frac_coords": [[0.000, 0.000, 0.000], [0.165, 0.165, 0.330], [0.835, 0.835, 0.670], [0.398, 0.398, 0.797], [0.602, 0.602, 0.203], [0.294, 0.294, 0.587], [0.706, 0.706, 0.413], [0.421, 0.921, 0.842], [0.921, 0.421, 0.842], [0.079, 0.579, 0.158], [0.579, 0.079, 0.158]], "raw_formation_energy_mev_per_atom": -1005, "n_ef_per_ev_fu": 10.10}

Record 6
{"formula": "PaNi7Sb2As2", "functional": "PBE-GGA", "state": "optimized geometry", "cell": [[-2.576, -0.676, 2.668], [-0.949, -3.213, -1.728], [8.058, -8.994, 8.174]], "species": ["Pa", "Ni", "Ni", "Ni", "Ni", "Ni", "Ni", "Ni", "Sb", "Sb", "As", "As"], "frac_coords": [[0.000, 0.000, 0.000], [0.500, 0.500, 0.000], [0.301, 0.301, 0.397], [0.699, 0.699, 0.603], [0.932, 0.432, 0.135], [0.432, 0.932, 0.135], [0.568, 0.068, 0.865], [0.068, 0.568, 0.865], [0.788, 0.788, 0.423], [0.212, 0.212, 0.577], [0.619, 0.619, 0.764], [0.381, 0.381, 0.236]], "raw_formation_energy_mev_per_atom": -231, "n_ef_per_ev_fu": 6.10}

Record 7
{"formula": "ScPaNi2As2", "functional": "PBE-GGA", "state": "optimized geometry", "cell": [[-2.663, 1.639, 2.470], [-1.195, -2.586, -2.787], [0.999, -5.701, 4.860]], "species": ["Sc", "Pa", "Ni", "Ni", "As", "As"], "frac_coords": [[0.000, 0.000, 0.500], [0.000, 0.000, 0.000], [0.667, 0.333, 0.225], [0.333, 0.667, 0.775], [0.667, 0.333, 0.723], [0.333, 0.667, 0.277]], "ef_ev_per_atom": -0.923, "n_ef_per_ev_fu": 4.99}

Record 8
{"formula": "PaNiAsSe", "functional": "PBE-GGA", "state": "optimized geometry", "cell": [[4.237, 0.000, 0.000], [0.000, 4.237, 0.000], [0.000, 0.000, 8.315]], "species": ["Pa", "Pa", "Ni", "Ni", "As", "As", "Se", "Se"], "frac_coords": [[0.500, 0.000, 0.743], [0.000, 0.500, 0.257], [0.500, 0.500, 0.000], [0.000, 0.000, 0.000], [0.000, 0.500, 0.849], [0.500, 0.000, 0.151], [0.000, 0.000, 0.500], [0.500, 0.500, 0.500]], "raw_formation_energy_mev_per_atom": -904, "n_ef_per_ev_fu": 1.03}